Record 1
Material: SmMgZn2Ag5
Method: DFT, GGA-PBE
State: relaxed

SG	P4/mmm (123)
calculated formation energy	-30.6	meV per atom
crystal system	tetragonal
total energy	-2.599	eV per atom

```
SmMgZn2Ag5
1.0
4.843 0.000 0.000
0.000 4.843 0.000
0.000 0.000 7.870
Sm Mg Zn Ag
1 1 2 5
direct
0.000 0.000 0.000
0.000 0.000 0.500
0.500 0.500 0.348
0.500 0.500 0.652
0.000 0.500 0.246
0.000 0.500 0.754
0.500 0.000 0.246
0.500 0.000 0.754
0.500 0.500 0.000
```


Record 2
Material: PuZnRh3
Method: DFT, GGA-PBE
State: relaxed

SG	Cmcm (63)
calculated formation energy	40.9	meV per atom
crystal system	orthorhombic
total energy	-7.491	eV per atom

```
PuZnRh3
1.0
2.774 -6.482 0.000
2.774 6.482 0.000
0.000 0.000 4.724
Pu Zn Rh
2 2 6
direct
0.146 0.854 0.750
0.854 0.146 0.250
0.500 0.500 0.000
0.500 0.500 0.500
0.103 0.385 0.750
0.319 0.681 0.250
0.385 0.103 0.250
0.615 0.897 0.750
0.681 0.319 0.750
0.897 0.615 0.250
```


Record 3
Material: Tb5CeEr
Method: DFT, GGA-PBE
State: relaxed

SG	C2/m (12)
calculated formation energy	224.1	meV per atom
crystal system	monoclinic
total energy	-4.583	eV per atom

```
Tb5CeEr
1.0
3.467 -5.092 0.000
3.467 5.092 0.000
-2.028 0.000 6.575
Tb Ce Er
5 1 1
direct
0.000 0.000 0.000
0.093 0.529 0.269
0.471 0.907 0.731
0.529 0.093 0.269
0.907 0.471 0.731
0.000 0.000 0.500
0.500 0.500 0.000
```


Record 4
Material: DyZn2Sn
Method: DFT, GGA-PBE
State: relaxed

SG	R-3m (166)
calculated formation energy	-258.2	meV per atom
crystal system	trigonal
total energy	-3.046	eV per atom

```
DyZn2Sn
1.0
2.221 1.282 5.109
-2.221 1.282 5.109
0.000 -2.564 5.109
Dy Zn Sn
1 2 1
direct
0.000 0.000 0.000
0.234 0.234 0.234
0.766 0.766 0.766
0.500 0.500 0.500
```


Record 5
Material: NdHo7Er2
Method: DFT, GGA-PBE
State: relaxed

SG	P-1 (2)
calculated formation energy	20.4	meV per atom
crystal system	triclinic
total energy	-4.573	eV per atom

```
NdHo7Er2
1.0
6.123 0.000 0.000
2.038 6.770 0.000
2.030 1.232 7.534
Nd Ho Er
1 7 2
direct
0.000 0.000 0.000
0.000 0.500 0.000
0.200 0.301 0.599
0.400 0.100 0.201
0.401 0.599 0.202
0.599 0.401 0.798
0.600 0.900 0.799
0.800 0.699 0.401
0.200 0.799 0.599
0.800 0.201 0.401
```


Record 6
Material: SrAlCl2
Method: DFT, GGA-PBE
State: relaxed

SG	Immm (71)
crystal system	orthorhombic
total energy	-3.388	eV per atom

```
SrAlCl2
1.0
-2.035 3.038 4.316
2.035 -3.038 4.316
2.035 3.038 -4.316
Sr Al Cl
1 1 2
direct
0.000 0.000 0.000
0.500 0.500 0.000
0.260 0.760 0.500
0.740 0.240 0.500
```


Record 7
Material: KOsBr2
Method: DFT, GGA-PBE
State: relaxed

SG	Cmmm (65)
crystal system	orthorhombic
total energy	-3.576	eV per atom

```
KOsBr2
1.0
1.989 -3.828 0.000
1.989 3.828 0.000
0.000 0.000 7.804
K Os Br
1 1 2
direct
0.000 0.000 0.000
0.000 0.000 0.500
0.500 0.500 0.301
0.500 0.500 0.699
```


Record 8
Material: MgTlTc
Method: DFT, GGA-PBE
State: relaxed

SG	Imm2 (44)
calculated formation energy	491.1	meV per atom
crystal system	orthorhombic
total energy	-4.285	eV per atom

```
MgTlTc
1.0
-1.469 2.078 4.599
1.469 -2.078 4.599
1.469 2.078 -4.599
Mg Tl Tc
1 1 1
direct
0.000 0.000 0.000
0.682 0.682 0.000
0.354 0.354 0.000
```


Record 9
Material: Tm3Hg2Au3
Method: DFT, GGA-PBE
State: relaxed

SG	P6_3/mcm (193)
calculated formation energy	-617.7	meV per atom
crystal system	hexagonal
total energy	-3.599	eV per atom

```
Tm3Hg2Au3
1.0
8.645 0.000 0.000
-4.322 7.487 0.000
0.000 0.000 5.861
Tm Hg Au
6 4 6
direct
0.000 0.290 0.250
0.000 0.710 0.750
0.290 0.000 0.250
0.290 0.290 0.750
0.710 0.000 0.750
0.710 0.710 0.250
0.333 0.667 0.000
0.333 0.667 0.500
0.667 0.333 0.000
0.667 0.333 0.500
0.000 0.361 0.750
0.000 0.639 0.250
0.361 0.000 0.750
0.361 0.361 0.250
0.639 0.000 0.250
0.639 0.639 0.750
```


Record 10
Material: Sr2PRh2
Method: DFT, GGA-PBE
State: relaxed

SG	P4/mbm (127)
calculated formation energy	-398.6	meV per atom
crystal system	tetragonal
total energy	-5.094	eV per atom

```
Sr2PRh2
1.0
6.644 0.000 0.000
0.000 6.644 0.000
0.000 0.000 4.773
Sr P Rh
4 2 4
direct
0.174 0.326 0.000
0.326 0.826 0.000
0.674 0.174 0.000
0.826 0.674 0.000
0.000 0.000 0.500
0.500 0.500 0.500
0.153 0.653 0.500
0.347 0.153 0.500
0.653 0.847 0.500
0.847 0.347 0.500
```


Record 11
Material: KAgRu2
Method: DFT, GGA-PBE
State: relaxed

SG	P2/m (10)
calculated formation energy	1003.2	meV per atom
crystal system	monoclinic
total energy	-4.622	eV per atom

```
KAgRu2
1.0
2.764 0.000 0.000
0.000 4.973 0.000
-0.747 0.000 6.244
K Ag Ru
1 1 2
direct
0.000 0.000 0.000
0.500 0.000 0.500
0.280 0.500 0.666
0.720 0.500 0.334
```


Record 12
Material: As2OsBr
Method: DFT, GGA-PBE
State: relaxed

SG	I4/mmm (139)
crystal system	tetragonal
total energy	-4.620	eV per atom

```
As2OsBr
1.0
-2.170 2.170 3.751
2.170 -2.170 3.751
2.170 2.170 -3.751
As Os Br
2 1 1
direct
0.250 0.750 0.500
0.750 0.250 0.500
0.000 0.000 0.000
0.500 0.500 0.000
```


no.,calculated volume (Å³ per atom),total magnetic moment (μB per formula unit)
1,20.51,0.00
2,16.99,0.00
3,33.16,1.30
4,21.82,0.00
5,31.23,0.00
6,26.68,0.00
7,29.71,1.02
8,18.72,0.00
9,23.71,0.00
10,21.07,0.00
11,21.46,2.32
12,17.67,0.00